Material: PPbCl3
Method: DFT, PBE
State: optimized geometry

Magnetization   2.42 Bohr magnetons per cell
Polymorph energy (0 for the lowest one)   0.1577 eV per atom
D(E_F)   8.93 states/eV per cell
Formation energy (no corrections)   42 meV per atom

Unit cell a=5.527 b=5.527 c=5.527 alpha=90.00 beta=90.00 gamma=90.00
Space group Pm-3m (No. 221)
Symmetry-distinct sites (fractional):
P: 0.000 0.000 0.000 [1 per cell]
Pb: 0.500 0.500 0.500 [1 per cell]
Cl: 0.000 0.500 0.500 [3 per cell]

---

Material: PPb3Cl
Method: DFT, PBE
State: optimized geometry

Magnetization   0.00 Bohr magnetons per cell
Polymorph energy (0 for the lowest one)   0.0000 eV per atom
D(E_F)   3.51 states/eV per cell
Formation energy (no corrections)   189 meV per atom

Unit cell a=5.575 b=5.575 c=5.575 alpha=90.00 beta=90.00 gamma=90.00
Space group Pm-3m (No. 221)
Symmetry-distinct sites (fractional):
P: 0.000 0.000 0.000 [1 per cell]
Pb: 0.000 0.000 0.500 [3 per cell]
Cl: 0.500 0.500 0.500 [1 per cell]